DFT (PBE) results for a relaxed structure of Zn2IrW.

Unit cell a=2.7264 b=2.7264 c=8.7748 alpha=90.00 beta=90.00 gamma=113.54
With the nearest neighbours (Å) after each atom.
Atoms (fractional coordinates):
Zn  0.0000  0.0000  0.2419  2 Ir 2.60, 2 W 2.71, 4 Zn 2.73
Zn  0.0000  0.0000  0.7581  2 Ir 2.60, 2 W 2.71, 4 Zn 2.73
Ir  0.5000  0.5000  0.0000  4 Zn 2.60, 4 Ir 2.73
W  0.5000  0.5000  0.5000  4 Zn 2.71, 6 W 2.73-2.99

The space-group type is Cmmm. The value obtained for the calculated formation energy is 162 meV per atom. The value obtained for the magnetization is 0.000 μB per atom.

***

DFT (PBE) results for a relaxed structure of ZnIrW.

Unit cell a=4.3053 b=4.3053 c=2.7573 alpha=90.00 beta=90.00 gamma=120.00
With the nearest neighbours (Å) after each atom.
Atoms (fractional coordinates):
Zn  0.0000  0.0000  0.0000  3 Ir 2.49, 2 Zn 2.76
Ir  0.6667  0.3333  0.0000  3 Zn 2.49, 2 Ir 2.76
W  0.3333  0.6667  0.5000  2 W 2.76, 6 Zn 2.84, 6 Ir 2.84

The space-group type is P-6m2. The value obtained for the calculated formation energy is -31 meV per atom. The value obtained for the magnetization is 0.000 μB per atom.